## ScZn2S2 (PBE-GGA)

Data for an optimized crystal structure of ScZn2S2.

Cell and atoms, written as POSCAR:
```
ScZn2S2
1.0
4.7178 0.0000 0.0000
0.0000 4.7178 0.0000
2.3589 2.3589 4.0217
Sc Zn S
1 2 2
Cartesian
0.0000 0.0000 0.0000
2.3589 2.3589 1.1716
4.7178 4.7178 2.8501
4.7178 2.3589 2.0108
2.3589 4.7178 2.0108
```

Properties
Polymorph energy (0 for the lowest one)   0.000 eV per atom
Formation energy (no corrections)   -0.436 eV/atom
N(E_F)   0.612 states/eV per atom
Raw total energy   -0.142 Ha/atom

***

## Sc6ZnS5 (PBE-GGA)

Data for an optimized crystal structure of Sc6ZnS5.

Cell and atoms, written as POSCAR:
```
Sc6ZnS5
1.0
6.3463 0.1579 0.9658
1.5602 5.4033 3.1493
0.1054 0.0610 6.4395
Sc Zn S
6 1 5
Cartesian
4.9157 0.5896 3.1690
2.5332 3.1809 4.2451
1.9883 1.4155 1.0440
5.9182 4.1458 3.0711
5.4786 2.4413 6.3095
3.0962 5.0326 7.3856
0.0000 0.0000 0.0000
3.5027 1.0175 5.3058
0.5559 1.8241 3.1913
3.9532 2.7806 2.0576
1.1097 3.6402 6.3975
4.5091 4.6048 5.2489
```

Properties
Formation energy (no corrections)   -1.598 eV/atom
N(E_F)   0.368 states/eV per atom
Raw total energy   -0.242 Ha/atom

***

## Sc3ZnS (PBE-GGA)

Data for an optimized crystal structure of Sc3ZnS.

Cell and atoms, written as POSCAR:
```
Sc3ZnS
1.0
-1.1754 -2.9763 3.5619
4.1735 0.9305 2.1548
-2.0316 3.6335 2.3658
Sc Zn S
3 1 1
Cartesian
2.0867 0.4653 1.0774
-1.0158 1.8168 1.1829
-0.5877 -1.4882 1.7809
0.4832 0.7939 4.0412
0.0000 0.0000 0.0000
```

Properties
Polymorph energy (0 for the lowest one)   0.000 eV per atom
Formation energy (no corrections)   -0.684 eV/atom
N(E_F)   0.544 states/eV per atom
Raw total energy   -0.204 Ha/atom

***

## ZrScS3 (PBE-GGA)

Data for an optimized crystal structure of ZrScS3.

Cell and atoms, written as POSCAR:
```
ZrScS3
1.0
6.3006 0.0000 0.0000
0.0000 6.3907 0.0000
0.0000 -3.1953 5.5345
Zr Sc S
2 2 6
Cartesian
3.1503 3.1953 1.8448
0.0000 3.1953 1.8448
0.0000 0.0000 0.0000
3.1503 0.0000 0.0000
4.7255 1.1131 1.7368
4.7255 4.1429 3.7021
4.7255 4.3300 0.0956
1.5752 2.2478 3.7021
1.5752 2.0606 0.0956
1.5752 5.2776 1.7368
```

Properties
Formation energy (no corrections)   -1.693 eV/atom
N(E_F)   0.191 states/eV per atom
Raw total energy   -0.263 Ha/atom

***

## ZrScS3 (PBE-GGA)

Data for an optimized crystal structure of ZrScS3.

Cell and atoms, written as POSCAR:
```
ZrScS3
1.0
4.7929 0.0000 0.0000
0.0000 4.7929 0.0000
0.0000 0.0000 4.7929
Sc S Zr
1 3 1
Cartesian
0.0000 0.0000 0.0000
0.0000 2.3964 0.0000
0.0000 0.0000 2.3964
2.3964 0.0000 0.0000
2.3964 2.3964 2.3964
```

Properties
Formation energy (no corrections)   -0.695 eV/atom
N(E_F)   0.951 states/eV per atom
Raw total energy   -0.226 Ha/atom

***

## Zr2Sc3S8 (PBE-GGA)

Data for an optimized crystal structure of Zr2Sc3S8.

Cell and atoms, written as POSCAR:
```
Zr2Sc3S8
1.0
6.3408 -0.0440 -0.0644
-0.0758 6.3795 3.1239
-0.0788 0.1158 7.1023
Zr Sc S
2 3 8
Cartesian
3.0134 4.7338 7.4554
3.1729 1.7175 2.7064
3.1704 -0.0220 -0.0322
-0.0765 4.8059 4.1233
-0.0781 1.6893 6.1028
5.2117 2.4754 3.9013
0.9745 3.9759 6.2605
5.0859 5.6816 8.9491
1.1003 0.7697 1.2127
4.1480 2.4276 7.4674
4.1496 5.7243 5.3735
2.0366 0.7270 4.7883
2.0382 4.0237 2.6944
```

Properties
Formation energy (no corrections)   -1.685 eV/atom
N(E_F)   0.259 states/eV per atom
Raw total energy   -0.257 Ha/atom

***

## Zr2Sc2S (PBE-GGA)

Data for an optimized crystal structure of Zr2Sc2S.

Cell and atoms, written as POSCAR:
```
Zr2Sc2S
1.0
-1.3732 -1.6508 3.0421
3.2918 0.3884 1.6967
-1.5324 7.0918 5.4356
Sc S Zr
2 1 2
Cartesian
0.5108 0.7587 2.9212
-0.1247 5.0706 7.2532
0.0000 0.0000 0.0000
-0.9732 2.4049 5.4236
1.3593 3.4245 4.7509
```

Properties
Polymorph energy (0 for the lowest one)   0.353 eV per atom
Formation energy (no corrections)   0.070 eV/atom
N(E_F)   0.999 states/eV per atom
Raw total energy   -0.246 Ha/atom

***

## ZrSc6S8 (PBE-GGA)

Data for an optimized crystal structure of ZrSc6S8.

Cell and atoms, written as POSCAR:
```
ZrSc6S8
1.0
6.3626 0.0000 3.6734
2.1209 5.9987 3.6734
0.0000 0.0000 7.3469
Zr Sc S
1 6 8
Cartesian
0.0000 0.0000 0.0000
1.0604 2.9993 5.5102
3.1813 0.0000 1.8367
4.2417 2.9993 3.6734
0.0000 0.0000 3.6734
1.0604 2.9993 1.8367
3.1813 0.0000 5.5102
6.3626 4.4990 11.0203
2.1209 1.4997 3.6734
5.2829 1.5269 5.5435
3.2006 4.4718 9.1502
2.1594 1.5269 7.3469
6.3240 4.4718 7.3469
5.2829 1.5269 9.1502
3.2006 4.4718 5.5435
```

Properties
Formation energy (no corrections)   -1.868 eV/atom
N(E_F)   0.469 states/eV per atom
Raw total energy   -0.264 Ha/atom

***

Across the entries above, total magnetization takes the values 0.60 0.00 0.00 0.00 1.00 0.00 1.27 0.00 μB per formula unit, respectively.